Record 1
Here is a geometry-optimized Dy3HoPu2Te6 structure from Alexandria via LeMat-Bulk. Energies are from PBE.

D(E_F) in states/eV/atom: 1.885
Space-group type: C2/m (12)
Total moment in μB per formula unit: 12.05
Energy relative to the elements, uncorrected in eV per atom: -1.2352

POSCAR file:
```
Dy3HoPu2Te6
1.0
-3.3996 0.8089 2.6006
-4.7822 -5.9013 -4.4161
5.7841 -5.5420 5.6369
Te Pu Dy Ho
6 2 3 1
Direct
0.6658 0.5857 0.3315
0.3342 0.4143 0.6685
0.6654 0.0789 0.3307
0.9976 0.2479 0.9953
0.0024 0.7521 0.0047
0.3346 0.9211 0.6693
0.1659 0.3327 0.3318
0.8341 0.6673 0.6682
0.8316 0.1660 0.6632
0.1684 0.8340 0.3368
0.5000 0.5000 0.0000
0.5000 0.0000 0.0000
```

Record 2
Here is a geometry-optimized K2ScZnO4 structure from Alexandria via LeMat-Bulk. Energies are from PBE.

D(E_F) in states/eV/atom: 0.595
Space-group type: I-42m (121)
Total moment in μB per formula unit: 1.02
Energy relative to the elements, uncorrected in eV per atom: -1.7268

POSCAR file:
```
K2ScZnO4
1.0
-5.2106 1.4661 1.9922
-4.5993 -1.1245 -2.8521
-2.9418 -3.4320 3.1811
Sc Zn K O
1 1 2 4
Direct
0.0000 0.0000 0.0000
0.5000 0.0000 0.0000
0.5000 0.5000 0.5000
0.0000 0.5000 0.5000
0.1056 0.2952 0.0000
0.4009 0.7048 0.0000
0.5991 0.0000 0.2952
0.8944 0.0000 0.7048
```

Record 3
Here is a geometry-optimized Cr2HgSe structure from Alexandria via LeMat-Bulk. Energies are from PBE.

D(E_F) in states/eV/atom: 0.669
Space-group type: Imm2 (44)
Total moment in μB per formula unit: 8.23
Relative energy among the computed polymorphs in meV/atom: 81.0
Energy relative to the elements, uncorrected in eV per atom: 0.2949

POSCAR file:
```
Cr2HgSe
1.0
-0.2352 -5.2731 -4.0126
2.9478 -5.9389 0.0381
-3.5323 4.6945 3.0736
Se Hg Cr
1 1 2
Direct
0.2117 0.7117 0.5000
0.4584 0.4584 0.0000
0.0503 0.0503 0.0000
0.7796 0.2796 0.5000
```

Record 4
Here is a geometry-optimized PmAlAg2Au4 structure from Alexandria via LeMat-Bulk. Energies are from PBE.

D(E_F) in states/eV/atom: 0.209
Space-group type: R-3m (166)
Uncorrected energy in eV/cell: -30.27
Total moment in μB per formula unit: 0.00

POSCAR file:
```
PmAlAg2Au4
1.0
4.8205 0.0000 0.0000
2.4103 4.1747 0.0000
2.4103 1.3916 7.7241
Au Ag Al Pm
4 2 1 1
Direct
0.6110 0.6110 0.1670
0.3890 0.3890 0.8330
0.1343 0.1343 0.5972
0.8657 0.8657 0.4028
0.2567 0.2567 0.2298
0.7433 0.7433 0.7702
0.5000 0.5000 0.5000
0.0000 0.0000 0.0000
```